[1]
# PuThIn4

A geometry-optimized PuThIn4 structure (PBE, Alexandria).

The structure in POSCAR format:
```
PuThIn4
1.0
-1.849 0.653 2.924
0.203 -4.933 1.229
7.532 1.418 4.446
In Pu Th
4 1 1
Direct
0.001 0.500 0.169
0.001 0.000 0.664
0.999 0.000 0.336
0.999 0.500 0.831
0.500 0.500 0.500
0.500 0.000 0.000
```

Output
Space-group type: Pmmm, No. 47
ΔE to the lowest computed polymorph in eV/atom: 0.000

[2]
# PuTh2In3

A geometry-optimized PuTh2In3 structure (PBE, Alexandria).

The structure in POSCAR format:
```
PuTh2In3
1.0
-3.570 1.565 0.106
-1.191 -2.532 -2.715
-2.939 -7.253 8.052
Th In Pu
2 3 1
Direct
0.500 0.500 0.172
0.500 0.500 0.828
0.000 0.000 0.656
0.000 0.000 0.000
0.000 0.000 0.344
0.500 0.500 0.500
```

Output
Space-group type: P4/mmm, No. 123

[3]
# PuTh4In2

A geometry-optimized PuTh4In2 structure (PBE, Alexandria).

The structure in POSCAR format:
```
PuTh4In2
1.0
-3.361 -4.564 3.409
5.114 -2.376 -3.457
3.139 4.458 3.744
Th In Pu
4 2 1
Direct
0.000 0.000 0.500
0.500 0.500 0.500
0.000 0.500 0.000
0.500 0.000 0.000
0.500 0.000 0.500
0.500 0.500 0.000
0.000 0.000 0.000
```

Output
Space-group type: I4/mmm, No. 139

[4]
# PuTh3In12

A geometry-optimized PuTh3In12 structure (PBE, Alexandria).

The structure in POSCAR format:
```
PuTh3In12
1.0
4.719 0.000 0.000
0.000 4.719 0.000
0.000 0.000 18.880
In Pu Th
12 1 3
Direct
0.500 0.000 0.120
0.000 0.500 0.120
0.000 0.500 0.626
0.500 0.500 0.500
0.000 0.500 0.880
0.000 0.500 0.374
0.500 0.000 0.626
0.500 0.000 0.374
0.500 0.500 0.247
0.500 0.500 0.000
0.500 0.000 0.880
0.500 0.500 0.753
0.000 0.000 0.000
0.000 0.000 0.248
0.000 0.000 0.500
0.000 0.000 0.752
```

Output
Space-group type: P4/mmm, No. 123

[5]
# PuTh2In9

A geometry-optimized PuTh2In9 structure (PBE, Alexandria).

The structure in POSCAR format:
```
PuTh2In9
1.0
4.713 0.000 0.000
0.000 4.713 0.000
0.000 0.000 14.147
Th In Pu
2 9 1
Direct
0.000 0.000 0.668
0.000 0.000 0.332
0.000 0.500 0.500
0.500 0.000 0.500
0.500 0.500 0.000
0.500 0.000 0.161
0.000 0.500 0.839
0.500 0.500 0.670
0.500 0.000 0.839
0.000 0.500 0.161
0.500 0.500 0.330
0.000 0.000 0.000
```

Output
Space-group type: P4/mmm, No. 123

[6]
# PuThIn4

A geometry-optimized PuThIn4 structure (PBE, Alexandria).

The structure in POSCAR format:
```
PuThIn4
1.0
-2.086 -5.090 -2.510
3.426 -3.054 -3.936
2.375 -5.336 1.564
In Pu Th
4 1 1
Direct
0.625 0.625 0.625
0.125 0.625 0.625
0.625 0.625 0.125
0.625 0.125 0.625
0.250 0.250 0.250
0.000 0.000 0.000
```

Output
Space-group type: F-43m, No. 216
ΔE to the lowest computed polymorph in eV/atom: 0.029

[7]
# PuTh4In5

A geometry-optimized PuTh4In5 structure (PBE, Alexandria).

The structure in POSCAR format:
```
PuTh4In5
1.0
4.180 0.000 0.000
0.000 4.180 0.000
0.000 0.000 16.320
In Th Pu
5 4 1
Direct
0.500 0.500 0.904
0.500 0.500 0.096
0.500 0.500 0.703
0.500 0.500 0.297
0.500 0.500 0.500
0.000 0.000 0.806
0.000 0.000 0.399
0.000 0.000 0.194
0.000 0.000 0.601
0.000 0.000 0.000
```

Output
Space-group type: P4/mmm, No. 123

[8]
# PuThIn

A geometry-optimized PuThIn structure (PBE, Alexandria).

The structure in POSCAR format:
```
PuThIn
1.0
3.258 0.000 0.000
0.000 5.366 0.000
0.000 -2.683 4.647
Pu Th In
1 1 1
Direct
0.500 0.333 0.667
0.500 0.667 0.333
0.000 0.000 0.000
```

Output
Space-group type: P-6m2, No. 187
ΔE to the lowest computed polymorph in eV/atom: 0.078

We obtain ΔE_f values of -0.23; -0.17; -0.01; -0.32; -0.31; -0.20; -0.21; 0.02 eV/atom for the records listed above, in that order.